1.
Compound: Ca2SiRh
Source: Alexandria
Functional: GGA-PBE
Structure: relaxed Values from VASP.

Calculated values
For the formation energy from raw total energies, the calculation gives -0.425 eV per atom. As for the space group: No. 99.

Structure (Quantum ESPRESSO input):
```
&SYSTEM
  ibrav = 0, nat = 4, ntyp = 3
/
ATOMIC_SPECIES
Ca 40.08 Ca.upf
Si 28.09 Si.upf
Rh 102.91 Rh.upf
ATOMIC_POSITIONS crystal
Ca 0.000 0.000 0.000
Ca 0.500 0.500 0.393
Si 0.500 0.500 0.756
Rh 0.000 0.000 0.640
CELL_PARAMETERS angstrom
3.280 0.000 0.000
0.000 3.280 0.000
0.000 0.000 8.521
```

2.
Compound: Ca3Si3Rh
Source: Alexandria
Functional: GGA-PBE
Structure: relaxed Values from VASP.

Calculated values
For the formation energy from raw total energies, the calculation gives -0.622 eV per atom. As for the space group: No. 63.

Structure (Quantum ESPRESSO input):
```
&SYSTEM
  ibrav = 0, nat = 14, ntyp = 3
/
ATOMIC_SPECIES
Ca 40.08 Ca.upf
Si 28.09 Si.upf
Rh 102.91 Rh.upf
ATOMIC_POSITIONS crystal
Ca 0.015 0.985 0.750
Ca 0.274 0.726 0.103
Ca 0.274 0.726 0.397
Ca 0.726 0.274 0.603
Ca 0.726 0.274 0.897
Ca 0.985 0.015 0.250
Si 0.312 0.688 0.750
Si 0.438 0.562 0.588
Si 0.438 0.562 0.912
Si 0.562 0.438 0.088
Si 0.562 0.438 0.412
Si 0.688 0.312 0.250
Rh 0.000 0.000 0.000
Rh 0.000 0.000 0.500
CELL_PARAMETERS angstrom
2.100 -5.348 0.000
2.100 5.348 0.000
0.000 0.000 13.203
```

3.
Compound: Ca3Si8Rh3
Source: Alexandria
Functional: GGA-PBE
Structure: relaxed Values from VASP.

Calculated values
For the formation energy from raw total energies, the calculation gives -0.550 eV per atom. As for the space group: No. 12. For the energy above the most stable polymorph in this dataset, the calculation gives 0.004 eV per atom.

Structure (Quantum ESPRESSO input):
```
&SYSTEM
  ibrav = 0, nat = 14, ntyp = 3
/
ATOMIC_SPECIES
Ca 40.08 Ca.upf
Si 28.09 Si.upf
Rh 102.91 Rh.upf
ATOMIC_POSITIONS crystal
Ca 0.000 0.000 0.000
Ca 0.293 0.293 0.339
Ca 0.707 0.707 0.661
Si 0.117 0.117 0.386
Si 0.141 0.141 0.841
Si 0.363 0.363 0.745
Si 0.483 0.483 0.292
Si 0.517 0.517 0.708
Si 0.637 0.637 0.255
Si 0.859 0.859 0.159
Si 0.883 0.883 0.614
Rh 0.000 0.000 0.500
Rh 0.324 0.324 0.991
Rh 0.676 0.676 0.009
CELL_PARAMETERS angstrom
7.606 -2.061 0.000
7.606 2.061 0.000
-4.120 0.000 7.543
```

4.
Compound: Ca2Si6Rh9
Source: Alexandria
Functional: GGA-PBE
Structure: relaxed Values from VASP.

Calculated values
For the formation energy from raw total energies, the calculation gives -0.732 eV per atom. As for the space group: No. 191.

Structure (Quantum ESPRESSO input):
```
&SYSTEM
  ibrav = 0, nat = 17, ntyp = 3
/
ATOMIC_SPECIES
Ca 40.08 Ca.upf
Si 28.09 Si.upf
Rh 102.91 Rh.upf
ATOMIC_POSITIONS crystal
Ca 0.000 0.000 0.191
Ca 0.000 0.000 0.809
Si 0.333 0.667 0.167
Si 0.333 0.667 0.500
Si 0.333 0.667 0.833
Si 0.667 0.333 0.167
Si 0.667 0.333 0.500
Si 0.667 0.333 0.833
Rh 0.000 0.500 0.000
Rh 0.000 0.500 0.334
Rh 0.000 0.500 0.666
Rh 0.500 0.000 0.000
Rh 0.500 0.000 0.334
Rh 0.500 0.000 0.666
Rh 0.500 0.500 0.000
Rh 0.500 0.500 0.334
Rh 0.500 0.500 0.666
CELL_PARAMETERS angstrom
5.673 0.000 0.000
-2.836 4.913 0.000
0.000 0.000 10.554
```

5.
Compound: Ca3Si8Rh3
Source: Alexandria
Functional: GGA-PBE
Structure: relaxed Values from VASP.

Calculated values
For the formation energy from raw total energies, the calculation gives -0.554 eV per atom. As for the space group: No. 71. For the energy above the most stable polymorph in this dataset, the calculation gives 0.000 eV per atom.

Structure (Quantum ESPRESSO input):
```
&SYSTEM
  ibrav = 0, nat = 14, ntyp = 3
/
ATOMIC_SPECIES
Ca 40.08 Ca.upf
Si 28.09 Si.upf
Rh 102.91 Rh.upf
ATOMIC_POSITIONS crystal
Ca 0.000 0.000 0.000
Ca 0.318 0.318 0.000
Ca 0.682 0.682 0.000
Si 0.040 0.670 0.370
Si 0.162 0.875 0.287
Si 0.300 0.670 0.630
Si 0.411 0.125 0.287
Si 0.589 0.875 0.713
Si 0.700 0.330 0.370
Si 0.838 0.125 0.713
Si 0.960 0.330 0.630
Rh 0.268 0.500 0.768
Rh 0.500 0.000 0.500
Rh 0.732 0.500 0.232
CELL_PARAMETERS angstrom
-2.082 4.755 5.876
2.082 -4.755 5.876
2.082 4.755 -5.876
```

6.
Compound: CaSi3Rh
Source: Alexandria
Functional: GGA-PBE
Structure: relaxed Values from VASP.

Calculated values
For the formation energy from raw total energies, the calculation gives -0.480 eV per atom. As for the space group: No. 14.

Structure (Quantum ESPRESSO input):
```
&SYSTEM
  ibrav = 0, nat = 20, ntyp = 3
/
ATOMIC_SPECIES
Ca 40.08 Ca.upf
Si 28.09 Si.upf
Rh 102.91 Rh.upf
ATOMIC_POSITIONS crystal
Ca 0.124 0.086 0.218
Ca 0.124 0.414 0.718
Ca 0.876 0.586 0.282
Ca 0.876 0.914 0.782
Si 0.151 0.595 0.115
Si 0.151 0.905 0.615
Si 0.314 0.043 0.945
Si 0.314 0.457 0.445
Si 0.430 0.151 0.660
Si 0.430 0.349 0.160
Si 0.570 0.651 0.840
Si 0.570 0.849 0.340
Si 0.686 0.543 0.555
Si 0.686 0.957 0.055
Si 0.849 0.095 0.385
Si 0.849 0.405 0.885
Rh 0.430 0.697 0.050
Rh 0.430 0.803 0.550
Rh 0.570 0.197 0.450
Rh 0.570 0.303 0.950
CELL_PARAMETERS angstrom
7.639 0.000 0.000
0.000 6.376 0.000
-3.829 0.000 7.362
```

Repeat the sixth record exactly.
Compound: CaSi3Rh
Source: Alexandria
Functional: GGA-PBE
Structure: relaxed Values from VASP.

Calculated values
For the formation energy from raw total energies, the calculation gives -0.480 eV per atom. As for the space group: No. 14.

Structure (Quantum ESPRESSO input):
```
&SYSTEM
  ibrav = 0, nat = 20, ntyp = 3
/
ATOMIC_SPECIES
Ca 40.08 Ca.upf
Si 28.09 Si.upf
Rh 102.91 Rh.upf
ATOMIC_POSITIONS crystal
Ca 0.124 0.086 0.218
Ca 0.124 0.414 0.718
Ca 0.876 0.586 0.282
Ca 0.876 0.914 0.782
Si 0.151 0.595 0.115
Si 0.151 0.905 0.615
Si 0.314 0.043 0.945
Si 0.314 0.457 0.445
Si 0.430 0.151 0.660
Si 0.430 0.349 0.160
Si 0.570 0.651 0.840
Si 0.570 0.849 0.340
Si 0.686 0.543 0.555
Si 0.686 0.957 0.055
Si 0.849 0.095 0.385
Si 0.849 0.405 0.885
Rh 0.430 0.697 0.050
Rh 0.430 0.803 0.550
Rh 0.570 0.197 0.450
Rh 0.570 0.303 0.950
CELL_PARAMETERS angstrom
7.639 0.000 0.000
0.000 6.376 0.000
-3.829 0.000 7.362
```